Entry 1:
VASP calculation (GGA-PBE) on a geometry-optimized NaLa3Os structure.

Offset from the most stable computed form   836 meV/atom
Spin magnetization   0.0 μB per cell
N(E_F)   0.76 states/eV per atom

Unit cell a=13.397 b=13.397 c=13.397 alpha=155.10 beta=155.10 gamma=35.51
Atoms (fractional coordinates):
Na1 0.000 0.000 0.000
Na2 0.750 0.250 0.500
La1 0.286 0.286 0.000
La2 0.374 0.137 0.237
La3 0.714 0.714 0.000
La4 0.863 0.100 0.237
La5 0.863 0.626 0.763
La6 0.900 0.137 0.763
Os1 0.203 0.703 0.500
Os2 0.297 0.797 0.500

---

Entry 2:
VASP calculation (GGA-PBE) on a geometry-optimized KNd structure.

E_tot   -5.04 eV/f.u.
Spin magnetization   0.0 μB per cell
N(E_F)   0.95 states/eV per atom

Unit cell a=3.724 b=3.724 c=7.266 alpha=90.00 beta=90.00 gamma=120.00
Atoms (fractional coordinates):
K1 0.000 0.000 0.000
Nd1 0.667 0.333 0.500

---

Entry 3:
VASP calculation (GGA-PBE) on a geometry-optimized AlNiCl2 structure.

Offset from the most stable computed form   448 meV/atom
Spin magnetization   2.4 μB per cell
E_form (uncorrected)   -0.12 eV per atom
N(E_F)   0.55 states/eV per atom

Unit cell a=3.298 b=6.073 c=8.160 alpha=90.00 beta=90.00 gamma=90.00
Atoms (fractional coordinates):
Al1 0.000 0.000 0.000
Al2 0.500 0.500 0.000
Ni1 0.000 0.000 0.500
Ni2 0.500 0.500 0.500
Cl1 0.000 0.500 0.303
Cl2 0.000 0.500 0.697
Cl3 0.500 0.000 0.303
Cl4 0.500 0.000 0.697

---

Entry 4:
VASP calculation (GGA-PBE) on a geometry-optimized Mg8Ir2Pt structure.

E_tot   -41.03 eV/f.u.
Spin magnetization   0.0 μB per cell
N(E_F)   0.45 states/eV per atom

Unit cell a=7.747 b=7.747 c=6.519 alpha=113.15 beta=113.15 gamma=33.88
Atoms (fractional coordinates):
Mg1 0.015 0.015 0.234
Mg2 0.173 0.173 0.715
Mg3 0.338 0.338 0.595
Mg4 0.368 0.368 0.071
Mg5 0.632 0.632 0.929
Mg6 0.662 0.662 0.405
Mg7 0.827 0.827 0.285
Mg8 0.985 0.985 0.766
Ir1 0.186 0.186 0.168
Ir2 0.814 0.814 0.832
Pt1 0.500 0.500 0.500

---

Entry 5:
VASP calculation (GGA-PBE) on a geometry-optimized InGe2Pb2 structure.

Offset from the most stable computed form   69 meV/atom
Spin magnetization   0.0 μB per cell
N(E_F)   0.54 states/eV per atom

Unit cell a=5.133 b=5.133 c=11.149 alpha=90.00 beta=90.00 gamma=90.00
Atoms (fractional coordinates):
In1 0.000 0.000 0.000
In2 0.500 0.500 0.500
Ge1 0.000 0.000 0.388
Ge2 0.000 0.000 0.612
Ge3 0.500 0.500 0.112
Ge4 0.500 0.500 0.888
Pb1 0.000 0.500 0.250
Pb2 0.000 0.500 0.750
Pb3 0.500 0.000 0.250
Pb4 0.500 0.000 0.750

---

Entry 6:
VASP calculation (GGA-PBE) on a geometry-optimized Ce2ZrIn structure.

Offset from the most stable computed form   170 meV/atom
Spin magnetization   2.7 μB per cell
N(E_F)   2.69 states/eV per atom

Unit cell a=4.093 b=4.093 c=6.504 alpha=90.00 beta=90.00 gamma=90.00
Atoms (fractional coordinates):
Ce1 0.000 0.000 0.236
Ce2 0.000 0.000 0.764
Zr1 0.500 0.500 0.500
In1 0.500 0.500 0.000

---

Entry 7:
VASP calculation (GGA-PBE) on a geometry-optimized Ac2Nd2Sn3 structure.

E_tot   -33.80 eV/f.u.
Spin magnetization   0.0 μB per cell
N(E_F)   0.86 states/eV per atom

Unit cell a=14.110 b=4.702 c=8.263 alpha=90.00 beta=117.76 gamma=90.00
Atoms (fractional coordinates):
Ac1 0.124 0.000 0.278
Ac2 0.376 0.500 0.722
Ac3 0.624 0.500 0.278
Ac4 0.876 0.000 0.722
Nd1 0.156 0.000 0.765
Nd2 0.344 0.500 0.235
Nd3 0.656 0.500 0.765
Nd4 0.844 0.000 0.235
Sn1 0.000 0.500 0.500
Sn2 0.092 0.500 0.955
Sn3 0.408 0.000 0.045
Sn4 0.500 0.000 0.500
Sn5 0.592 0.000 0.955
Sn6 0.908 0.500 0.045

---

Entry 8:
VASP calculation (GGA-PBE) on a geometry-optimized CaSiN structure.

Offset from the most stable computed form   207 meV/atom
Spin magnetization   0.0 μB per cell
E_form (uncorrected)   -0.58 eV per atom
N(E_F)   0.34 states/eV per atom

Unit cell a=3.271 b=3.271 c=4.993 alpha=90.00 beta=90.00 gamma=90.00
Atoms (fractional coordinates):
Ca1 0.000 0.000 0.000
Si1 0.500 0.500 0.519
N1 0.500 0.500 0.853

---

Entry 9:
VASP calculation (GGA-PBE) on a geometry-optimized Y2ZnFe structure.

E_tot   -22.88 eV/f.u.
Spin magnetization   1.5 μB per cell
N(E_F)   1.86 states/eV per atom

Unit cell a=4.970 b=4.970 c=3.477 alpha=90.00 beta=90.00 gamma=90.00
Atoms (fractional coordinates):
Y1 0.000 0.500 0.000
Y2 0.500 0.000 0.000
Zn1 0.000 0.000 0.500
Fe1 0.500 0.500 0.500

---

Entry 10:
VASP calculation (GGA-PBE) on a geometry-optimized BiPd4Pb structure.

Offset from the most stable computed form   147 meV/atom
Spin magnetization   0.0 μB per cell
N(E_F)   1.43 states/eV per atom

Unit cell a=5.484 b=5.484 c=5.484 alpha=60.00 beta=60.00 gamma=60.00
Atoms (fractional coordinates):
Bi1 0.000 0.000 0.000
Pd1 0.125 0.625 0.625
Pd2 0.625 0.125 0.625
Pd3 0.625 0.625 0.125
Pd4 0.625 0.625 0.625
Pb1 0.250 0.250 0.250

---

Entry 11:
VASP calculation (GGA-PBE) on a geometry-optimized Ba2Cd12Ag3Pb structure.

E_tot   -27.83 eV/f.u.
Spin magnetization   0.0 μB per cell
N(E_F)   0.36 states/eV per atom

Unit cell a=12.251 b=12.251 c=12.251 alpha=33.89 beta=33.89 gamma=33.89
Atoms (fractional coordinates):
Ba1 0.140 0.140 0.140
Ba2 0.860 0.860 0.860
Cd1 0.078 0.611 0.611
Cd2 0.089 0.089 0.686
Cd3 0.089 0.686 0.089
Cd4 0.314 0.911 0.911
Cd5 0.389 0.389 0.922
Cd6 0.389 0.922 0.389
Cd7 0.611 0.078 0.611
Cd8 0.611 0.611 0.078
Cd9 0.686 0.089 0.089
Cd10 0.911 0.314 0.911
Cd11 0.911 0.911 0.314
Cd12 0.922 0.389 0.389
Ag1 0.000 0.500 0.500
Ag2 0.500 0.000 0.500
Ag3 0.500 0.500 0.000
Pb1 0.500 0.500 0.500

---

Entry 12:
VASP calculation (GGA-PBE) on a geometry-optimized Cs2U3S8Cl structure.

Spin magnetization   3.0 μB per cell
E_form (uncorrected)   -1.27 eV per atom
N(E_F)   1.01 states/eV per atom

Unit cell a=9.996 b=9.996 c=9.996 alpha=46.79 beta=46.79 gamma=46.79
Atoms (fractional coordinates):
Cs1 0.000 0.000 0.000
Cs2 0.357 0.357 0.357
U1 0.357 0.357 0.852
U2 0.357 0.852 0.357
U3 0.852 0.357 0.357
S1 0.090 0.090 0.544
S2 0.090 0.544 0.090
S3 0.136 0.136 0.136
S4 0.167 0.623 0.623
S5 0.544 0.090 0.090
S6 0.574 0.574 0.574
S7 0.623 0.167 0.623
S8 0.623 0.623 0.167
Cl1 0.686 0.686 0.686

---

Entry 13:
VASP calculation (GGA-PBE) on a geometry-optimized POsNF2 structure.

Offset from the most stable computed form   425 meV/atom
Spin magnetization   3.8 μB per cell
E_form (uncorrected)   0.76 eV per atom
N(E_F)   0.91 states/eV per atom

Unit cell a=4.602 b=4.602 c=3.213 alpha=90.00 beta=90.00 gamma=90.00
Atoms (fractional coordinates):
P1 0.000 0.000 0.000
Os1 0.500 0.500 0.500
N1 0.000 0.000 0.500
F1 0.000 0.500 0.000
F2 0.500 0.000 0.000

---

Entry 14:
VASP calculation (GGA-PBE) on a geometry-optimized CeTmAlPd structure.

E_tot   -21.23 eV/f.u.
Spin magnetization   2.3 μB per cell
N(E_F)   1.53 states/eV per atom

Unit cell a=7.184 b=7.184 c=7.184 alpha=90.00 beta=90.00 gamma=90.00
Atoms (fractional coordinates):
Ce1 0.000 0.000 0.000
Ce2 0.000 0.500 0.500
Ce3 0.500 0.000 0.500
Ce4 0.500 0.500 0.000
Tm1 0.000 0.000 0.500
Tm2 0.000 0.500 0.000
Tm3 0.500 0.000 0.000
Tm4 0.500 0.500 0.500
Al1 0.250 0.250 0.250
Al2 0.250 0.750 0.750
Al3 0.750 0.250 0.750
Al4 0.750 0.750 0.250
Pd1 0.250 0.250 0.750
Pd2 0.250 0.750 0.250
Pd3 0.750 0.250 0.250
Pd4 0.750 0.750 0.750

---

Entry 15:
VASP calculation (GGA-PBE) on a geometry-optimized ErCu3Ge3 structure.

E_tot   -29.39 eV/f.u.
Spin magnetization   0.0 μB per cell
N(E_F)   0.51 states/eV per atom

Unit cell a=6.573 b=6.573 c=6.573 alpha=90.00 beta=90.00 gamma=90.00
Atoms (fractional coordinates):
Er1 0.000 0.000 0.000
Er2 0.500 0.500 0.500
Cu1 0.000 0.250 0.500
Cu2 0.000 0.750 0.500
Cu3 0.250 0.500 0.000
Cu4 0.500 0.000 0.250
Cu5 0.500 0.000 0.750
Cu6 0.750 0.500 0.000
Ge1 0.000 0.500 0.250
Ge2 0.000 0.500 0.750
Ge3 0.250 0.000 0.500
Ge4 0.500 0.250 0.000
Ge5 0.500 0.750 0.000
Ge6 0.750 0.000 0.500

---

Entry 16:
VASP calculation (GGA-PBE) on a geometry-optimized NaInSb structure.

Spin magnetization   0.0 μB per cell
E_form (uncorrected)   -0.19 eV per atom
N(E_F)   0.37 states/eV per atom

Unit cell a=4.529 b=13.835 c=5.567 alpha=90.00 beta=90.00 gamma=90.00
Atoms (fractional coordinates):
Na1 0.000 0.065 0.250
Na2 0.000 0.935 0.750
Na3 0.500 0.435 0.750
Na4 0.500 0.565 0.250
In1 0.000 0.264 0.750
In2 0.000 0.736 0.250
In3 0.500 0.236 0.250
In4 0.500 0.764 0.750
Sb1 0.000 0.379 0.250
Sb2 0.000 0.621 0.750
Sb3 0.500 0.121 0.750
Sb4 0.500 0.879 0.250

---

Entry 17:
VASP calculation (GGA-PBE) on a geometry-optimized Cr3As4 structure.

E_tot   -44.38 eV/f.u.
Spin magnetization   6.5 μB per cell
N(E_F)   1.30 states/eV per atom

Unit cell a=5.192 b=5.192 c=4.788 alpha=90.00 beta=90.00 gamma=120.00
Atoms (fractional coordinates):
Cr1 0.000 0.500 0.000
Cr2 0.500 0.000 0.000
Cr3 0.500 0.500 0.000
As1 0.000 0.000 0.249
As2 0.000 0.000 0.751
As3 0.333 0.667 0.500
As4 0.667 0.333 0.500

---

Entry 18:
VASP calculation (GGA-PBE) on a geometry-optimized LaCo2As structure.

E_tot   -23.63 eV/f.u.
Spin magnetization   1.3 μB per cell
N(E_F)   0.98 states/eV per atom

Unit cell a=3.133 b=3.133 c=6.751 alpha=90.00 beta=90.00 gamma=90.00
Atoms (fractional coordinates):
La1 0.000 0.000 0.000
Co1 0.500 0.500 0.315
Co2 0.500 0.500 0.685
As1 0.000 0.000 0.500

---

Entry 19:
VASP calculation (GGA-PBE) on a geometry-optimized ReSi2Ni structure.

Spin magnetization   0.0 μB per cell
E_form (uncorrected)   0.02 eV per atom
N(E_F)   0.51 states/eV per atom

Unit cell a=2.853 b=2.853 c=22.737 alpha=90.00 beta=90.00 gamma=120.00
Atoms (fractional coordinates):
Re1 0.000 0.000 0.000
Re2 0.333 0.667 0.667
Re3 0.667 0.333 0.333
Si1 0.000 0.000 0.502
Si2 0.000 0.000 0.748
Si3 0.333 0.667 0.168
Si4 0.333 0.667 0.415
Si5 0.667 0.333 0.081
Si6 0.667 0.333 0.835
Ni1 0.000 0.000 0.240
Ni2 0.333 0.667 0.907
Ni3 0.667 0.333 0.573

---

Entry 20:
VASP calculation (GGA-PBE) on a geometry-optimized ZrMoPb3 structure.

Offset from the most stable computed form   0 meV/atom
Spin magnetization   0.0 μB per cell
N(E_F)   1.25 states/eV per atom

Unit cell a=5.334 b=5.334 c=5.334 alpha=90.00 beta=90.00 gamma=90.00
Atoms (fractional coordinates):
Zr1 0.000 0.000 0.000
Mo1 0.500 0.500 0.500
Pb1 0.000 0.500 0.500
Pb2 0.500 0.000 0.500
Pb3 0.500 0.500 0.000

---

Entry 21:
VASP calculation (GGA-PBE) on a geometry-optimized LaMg2Au structure.

E_tot   -13.43 eV/f.u.
Spin magnetization   0.0 μB per cell
N(E_F)   0.62 states/eV per atom

Unit cell a=16.836 b=8.215 c=5.775 alpha=90.00 beta=90.00 gamma=90.00
Atoms (fractional coordinates):
La1 0.105 0.250 0.248
La2 0.139 0.750 0.051
La3 0.361 0.250 0.551
La4 0.395 0.750 0.748
La5 0.605 0.250 0.252
La6 0.639 0.750 0.449
La7 0.861 0.250 0.949
La8 0.895 0.750 0.752
Mg1 0.038 0.056 0.744
Mg2 0.038 0.444 0.744
Mg3 0.214 0.556 0.548
Mg4 0.214 0.944 0.548
Mg5 0.286 0.056 0.048
Mg6 0.286 0.444 0.048
Mg7 0.462 0.556 0.244
Mg8 0.462 0.944 0.244
Mg9 0.538 0.056 0.756
Mg10 0.538 0.444 0.756
Mg11 0.714 0.556 0.952
Mg12 0.714 0.944 0.952
Mg13 0.786 0.056 0.452
Mg14 0.786 0.444 0.452
Mg15 0.962 0.556 0.256
Mg16 0.962 0.944 0.256
Au1 0.069 0.750 0.542
Au2 0.182 0.250 0.753
Au3 0.318 0.750 0.253
Au4 0.431 0.250 0.042
Au5 0.569 0.750 0.958
Au6 0.682 0.250 0.747
Au7 0.818 0.750 0.247
Au8 0.931 0.250 0.458

---

Entry 22:
VASP calculation (GGA-PBE) on a geometry-optimized BiPdSeN2 structure.

Offset from the most stable computed form   472 meV/atom
Spin magnetization   2.6 μB per cell
E_form (uncorrected)   1.70 eV per atom
N(E_F)   0.73 states/eV per atom

Unit cell a=4.260 b=4.260 c=5.818 alpha=90.00 beta=90.00 gamma=90.00
Atoms (fractional coordinates):
Bi1 0.000 0.000 0.000
Pd1 0.500 0.500 0.500
Se1 0.000 0.000 0.500
N1 0.000 0.500 0.000
N2 0.500 0.000 0.000

---

Entry 23:
VASP calculation (GGA-PBE) on a geometry-optimized Na3TeH structure.

Offset from the most stable computed form   288 meV/atom
Spin magnetization   0.0 μB per cell
N(E_F)   0.00 states/eV per atom

Unit cell a=9.461 b=9.461 c=9.461 alpha=60.00 beta=60.00 gamma=60.00
Atoms (fractional coordinates):
Na1 0.111 0.111 0.639
Na2 0.111 0.639 0.111
Na3 0.111 0.639 0.639
Na4 0.361 0.361 0.889
Na5 0.361 0.889 0.361
Na6 0.361 0.889 0.889
Na7 0.639 0.111 0.111
Na8 0.639 0.111 0.639
Na9 0.639 0.639 0.111
Na10 0.889 0.361 0.361
Na11 0.889 0.361 0.889
Na12 0.889 0.889 0.361
Te1 0.000 0.500 0.500
Te2 0.500 0.000 0.500
Te3 0.500 0.500 0.000
Te4 0.500 0.500 0.500
H1 0.000 0.000 0.000
H2 0.000 0.000 0.500
H3 0.000 0.500 0.000
H4 0.500 0.000 0.000

---

Entry 24:
VASP calculation (GGA-PBE) on a geometry-optimized NaHo2F7 structure.

Spin magnetization   0.0 μB per cell
E_form (uncorrected)   -3.83 eV per atom
N(E_F)   0.00 states/eV per atom

Unit cell a=6.564 b=6.564 c=4.310 alpha=90.00 beta=90.00 gamma=115.30
Atoms (fractional coordinates):
Na1 0.000 0.000 0.000
Ho1 0.304 0.696 0.500
Ho2 0.696 0.304 0.500
F1 0.049 0.330 0.500
F2 0.283 0.717 0.000
F3 0.330 0.049 0.500
F4 0.500 0.500 0.500
F5 0.670 0.951 0.500
F6 0.717 0.283 0.000
F7 0.951 0.670 0.500